# 1
Compound: La2RePdF
Source: Alexandria
Functional: PBE
Structure: relaxed

Unit cell a=5.4616 b=4.1737 c=5.4616 alpha=90.00 beta=90.00 gamma=90.00
Fractional positions:
Re 0.0000 0.0000 0.0000
Pd 0.5000 0.5000 0.5000
F 0.0000 0.5000 0.0000
La 0.0000 0.0000 0.5000
La 0.5000 0.0000 0.0000

Formation energy from raw total energies, meV per atom: -292.0
Density of states at the Fermi level, states/eV per cell: 3.40
V, Å³/f.u.: 124
Electronic total energy, eV/cell: -30.8

# 2
Compound: LaPd2RuF
Source: Alexandria
Functional: PBE
Structure: relaxed

Unit cell a=5.2667 b=4.3601 c=5.2667 alpha=90.00 beta=90.00 gamma=90.00
Each line ends with the local moment (μB).
Fractional positions:
F 0.0000 0.5000 0.0000  0.00
Pd 0.5000 0.0000 0.0000  0.05
Pd 0.0000 0.0000 0.5000  0.00
La 0.0000 0.0000 0.0000  -0.03
Ru 0.5000 0.5000 0.5000  2.37

Formation energy from raw total energies, meV per atom: -6.5
Density of states at the Fermi level, states/eV per cell: 3.36
V, Å³/f.u.: 121
Electronic total energy, eV/cell: -26.5

# 3
Compound: La2TePdF
Source: Alexandria
Functional: PBE
Structure: relaxed

Unit cell a=5.5846 b=4.4234 c=5.5846 alpha=90.00 beta=90.00 gamma=90.00
Fractional positions:
La 0.0000 0.0000 0.5000
La 0.5000 0.0000 0.0000
F 0.0000 0.5000 0.0000
Te 0.5000 0.5000 0.5000
Pd 0.0000 0.0000 0.0000

Formation energy from raw total energies, meV per atom: -1113.1
Density of states at the Fermi level, states/eV per cell: 4.89
V, Å³/f.u.: 138
Electronic total energy, eV/cell: -25.6

# 4
Compound: La2TiPdF
Source: Alexandria
Functional: PBE
Structure: relaxed

Unit cell a=4.8296 b=4.9768 c=4.8296 alpha=90.00 beta=90.00 gamma=90.00
Fractional positions:
Ti 0.5000 0.5000 0.5000
La 0.5000 0.0000 0.0000
La 0.0000 0.0000 0.5000
F 0.0000 0.0000 0.0000
Pd 0.0000 0.5000 0.0000

Formation energy from raw total energies, meV per atom: -660.5
Density of states at the Fermi level, states/eV per cell: 8.38
V, Å³/f.u.: 116
Electronic total energy, eV/cell: -28.1

# 5
Compound: LaPmF4
Source: Alexandria
Functional: PBE
Structure: relaxed

Unit cell a=3.9545 b=3.9545 c=6.5130 alpha=90.00 beta=90.00 gamma=90.00
Each line ends with the local moment (μB).
Fractional positions:
F 0.5012 0.9973 0.8003  0.00
F 0.0013 0.4974 0.1960  0.00
F 0.0013 0.4973 0.8003  0.00
F 0.5013 0.9974 0.1960  0.00
La 0.0015 0.9970 0.4981  0.13
Pm 0.5013 0.4973 0.9982  0.00

Formation energy from raw total energies, meV per atom: -3477.9
Density of states at the Fermi level, states/eV per cell: 1.30
V, Å³/f.u.: 102
Electronic total energy, eV/cell: -38.0

# 6
Compound: LaPm2F
Source: Alexandria
Functional: PBE
Structure: relaxed

Unit cell a=3.7314 b=3.7314 c=9.8631 alpha=79.10 beta=79.10 gamma=60.00
Fractional positions:
Pm 0.8815 0.8815 0.3554
Pm 0.1185 0.1185 0.6446
F 0.5000 0.5000 0.5000
La 0.0000 0.0000 0.0000

Formation energy from raw total energies, meV per atom: -952.1
Density of states at the Fermi level, states/eV per cell: 6.44
V, Å³/f.u.: 116
Electronic total energy, eV/cell: -20.1

# 7
Compound: LaPmF6
Source: Alexandria
Functional: PBE
Structure: relaxed

Unit cell a=5.9452 b=5.9578 c=6.6020 alpha=63.15 beta=63.13 gamma=59.91
Fractional positions:
Pm 0.5000 0.5000 0.5000
F 0.7471 0.1503 0.7457
F 0.2529 0.8497 0.2543
F 0.6434 0.2531 0.2545
F 0.8496 0.6435 0.2548
F 0.3566 0.7469 0.7455
F 0.1504 0.3565 0.7452
La 0.0000 0.0000 0.0000

Formation energy from raw total energies, meV per atom: -4060.1
Density of states at the Fermi level, states/eV per cell: 0.00
V, Å³/f.u.: 173
Electronic total energy, eV/cell: -53.4

# 8
Compound: LaPr3F
Source: Alexandria
Functional: PBE
Structure: relaxed

Unit cell a=5.2791 b=5.2791 c=5.2791 alpha=90.00 beta=90.00 gamma=90.00
Fractional positions:
La 0.5000 0.5000 0.5000
Pr 0.0000 0.0000 0.5000
Pr 0.5000 0.0000 0.0000
Pr 0.0000 0.5000 0.0000
F 0.0000 0.0000 0.0000

Formation energy from raw total energies, meV per atom: -981.0
Density of states at the Fermi level, states/eV per cell: 4.71
V, Å³/f.u.: 147
Electronic total energy, eV/cell: -26.0

# 9
Compound: La2PrF8
Source: Alexandria
Functional: PBE
Structure: relaxed

Unit cell a=3.9612 b=5.8698 c=7.8339 alpha=110.20 beta=104.64 gamma=90.00
Each line ends with the local moment (μB).
Fractional positions:
F 0.2208 0.3224 0.4416  0.00
F 0.4065 0.5619 0.8129  0.00
F 0.3298 0.0380 0.6595  0.00
F 0.7792 0.6776 0.5584  0.00
F 0.9647 0.2124 0.9294  0.01
F 0.5935 0.4381 0.1871  0.00
F 0.0353 0.7876 0.0706  0.01
F 0.6702 0.9620 0.3405  0.00
La 0.8261 0.3244 0.6522  0.24
La 0.1739 0.6756 0.3478  0.24
Pr 0.5000 0.0000 0.0000  0.35

Formation energy from raw total energies, meV per atom: -3917.8
Density of states at the Fermi level, states/eV per cell: 5.55
V, Å³/f.u.: 165
Electronic total energy, eV/cell: -72.7

# 10
Compound: La2PtF2
Source: Alexandria
Functional: PBE
Structure: relaxed

Unit cell a=4.9427 b=4.9427 c=5.4267 alpha=62.91 beta=62.91 gamma=90.00
Fractional positions:
F 0.3356 0.3356 0.3289
F 0.6644 0.6644 0.6711
Pt 0.0000 0.0000 0.0000
La 0.7500 0.2500 0.5000
La 0.2500 0.7500 0.5000

Formation energy from raw total energies, meV per atom: -2228.3
Density of states at the Fermi level, states/eV per cell: 3.35
Energy above the lowest structure with this stoichiometry, meV per atom: 0
V, Å³/f.u.: 101
Electronic total energy, eV/cell: -30.8

# 11
Compound: LaPt3F
Source: Alexandria
Functional: PBE
Structure: relaxed

Unit cell a=4.5529 b=4.5529 c=4.5529 alpha=90.00 beta=90.00 gamma=90.00
Fractional positions:
F 0.0000 0.0000 0.0000
La 0.5000 0.5000 0.5000
Pt 0.0000 0.5000 0.0000
Pt 0.5000 0.0000 0.0000
Pt 0.0000 0.0000 0.5000

Formation energy from raw total energies, meV per atom: -339.9
Density of states at the Fermi level, states/eV per cell: 0.60
Energy above the lowest structure with this stoichiometry, meV per atom: 0
V, Å³/f.u.: 94
Electronic total energy, eV/cell: -26.6

# 12
Compound: LaPt3F
Source: Alexandria
Functional: PBE
Structure: relaxed

Unit cell a=5.2375 b=5.2375 c=5.2375 alpha=90.00 beta=90.00 gamma=90.00
Fractional positions:
Pt 0.0000 0.0000 0.5000
Pt 0.5000 0.0000 0.0000
Pt 0.0000 0.5000 0.0000
La 0.0000 0.0000 0.0000
F 0.5000 0.5000 0.5000

Formation energy from raw total energies, meV per atom: 892.2
Density of states at the Fermi level, states/eV per cell: 0.59
Energy above the lowest structure with this stoichiometry, meV per atom: 1232
V, Å³/f.u.: 144
Electronic total energy, eV/cell: -20.5

Question: Number 5 is which compound?
Answer: LaPmF4